[1]
K2HBr PBE optimized geometry; space-group type = R3m (160); crystal system = trigonal; total magnetic moment = 0.018 Bohr magnetons per cell
1.0
2.154 1.243 7.520
-2.154 1.243 7.520
0.000 -2.487 7.520
K H Br
2 1 1
direct
0.000 0.000 0.000 K
0.189 0.189 0.189 K
0.593 0.593 0.593 H
0.762 0.762 0.762 Br

---

[2]
HfOF3 PBE optimized geometry; space-group type = Pm-3m (221); crystal system = cubic; total magnetic moment = 1.063 Bohr magnetons per cell
1.0
3.915 0.000 0.000
0.000 3.915 0.000
0.000 0.000 3.915
Hf O F
1 1 3
direct
0.000 0.000 0.000 Hf
0.500 0.500 0.500 O
0.000 0.500 0.500 F
0.500 0.000 0.500 F
0.500 0.500 0.000 F

---

[3]
YTiHgGe2 PBE optimized geometry; space-group type = P4/mmm (123); crystal system = tetragonal; total magnetic moment = 2.086 Bohr magnetons per cell; formation energy = 0.69 eV/atom
1.0
5.163 0.000 0.000
0.000 5.163 0.000
0.000 0.000 5.128
Y Ti Hg Ge
1 1 1 2
direct
0.000 0.000 0.000 Y
0.500 0.500 0.000 Ti
0.500 0.500 0.500 Hg
0.000 0.500 0.500 Ge
0.500 0.000 0.500 Ge

---

no.,E (eV per atom)
1,-2.7339
2,-4.4498
3,-4.0917